## 1
This record from Alexandria via LeMat-Bulk describes a geometry-optimized LiSm2Hg2 structure. The functional is PBE.

Results
Magnetic moment   0.000 μB per atom
Crystal system   orthorhombic

Unit cell a=4.400 b=5.998 c=5.998 alpha=67.21 beta=68.48 gamma=68.48
Sites, in units of the cell vectors:
Sm 0.203 0.297 0.297
Hg 0.500 0.738 0.262
Sm 0.797 0.703 0.703
Li 0.000 0.000 0.000
Hg 0.500 0.262 0.738

=====

## 2
This record from Alexandria via LeMat-Bulk describes a geometry-optimized LiSm2Hg2 structure. The functional is PBE.

Results
Magnetic moment   0.000 μB per atom
Crystal system   orthorhombic

Unit cell a=5.919 b=7.194 c=7.855 alpha=117.25 beta=112.13 gamma=90.00
Sites, in units of the cell vectors:
Hg 0.581 0.298 0.163
Hg 0.419 0.702 0.837
Li 0.250 0.500 0.000
Hg 0.919 0.136 0.837
Sm 0.826 0.635 0.651
Sm 0.674 0.984 0.349
Sm 0.326 0.016 0.651
Hg 0.081 0.864 0.163
Li 0.750 0.500 0.000
Sm 0.174 0.365 0.349

=====

Relative calculated energies, zero for the most stable structure, unit kJ/mol of atoms: 1 0.0; 2 6.1.

=====

## 1
This record from Alexandria via LeMat-Bulk describes a geometry-optimized Li4Sm3Hg4 structure. The functional is PBE.

Results
Magnetic moment   0.000 μB per atom
Crystal system   orthorhombic

Unit cell a=4.583 b=7.716 c=8.531 alpha=116.89 beta=105.58 gamma=90.00
Sites, in units of the cell vectors:
Hg 0.776 0.276 0.552
Sm 0.117 0.117 0.234
Li 0.323 0.136 0.645
Li 0.677 0.864 0.355
Sm 0.883 0.883 0.766
Hg 0.500 0.797 0.000
Li 0.323 0.509 0.645
Hg 0.500 0.203 0.000
Sm 0.000 0.500 0.000
Li 0.677 0.491 0.355
Hg 0.224 0.724 0.448

=====

## 2
This record from Alexandria via LeMat-Bulk describes a geometry-optimized Li4Sm3Hg4 structure. The functional is PBE.

Results
Magnetic moment   0.000 μB per atom
Crystal system   monoclinic

Unit cell a=3.470 b=4.771 c=15.641 alpha=81.18 beta=83.66 gamma=90.03
Sites, in units of the cell vectors:
Li 0.406 0.906 0.187
Li 0.594 0.094 0.813
Sm 0.857 0.357 0.286
Hg 0.314 0.815 0.371
Hg 0.551 0.551 0.898
Li 0.257 0.258 0.484
Hg 0.686 0.185 0.629
Hg 0.449 0.449 0.102
Sm 0.143 0.643 0.714
Li 0.743 0.742 0.516
Sm 0.000 0.000 0.000

=====

Relative calculated energies, zero for the most stable structure, unit kJ/mol of atoms: 1 0.0; 2 0.7.

=====

## 1
This record from Alexandria via LeMat-Bulk describes a geometry-optimized Li4Sn3Hg4 structure. The functional is PBE.

Results
Magnetic moment   0.000 μB per atom
Crystal system   orthorhombic

Unit cell a=3.320 b=9.055 c=9.385 alpha=118.84 beta=100.19 gamma=90.00
Sites, in units of the cell vectors:
Hg 0.336 0.144 0.673
Li 0.259 0.759 0.519
Li 0.741 0.241 0.481
Sn 0.909 0.909 0.818
Hg 0.336 0.529 0.673
Hg 0.664 0.856 0.327
Li 0.500 0.224 0.000
Hg 0.664 0.471 0.327
Li 0.500 0.776 0.000
Sn 0.091 0.091 0.182
Sn 0.000 0.500 0.000

=====

## 2
This record from Alexandria via LeMat-Bulk describes a geometry-optimized Li4Sn3Hg4 structure. The functional is PBE.

Results
Magnetic moment   0.000 μB per atom
Crystal system   orthorhombic

Unit cell a=4.700 b=3.406 c=15.399 alpha=96.35 beta=98.78 gamma=90.00
Sites, in units of the cell vectors:
Li 0.454 0.454 0.909
Sn 0.361 0.861 0.722
Li 0.816 0.316 0.633
Hg 0.907 0.407 0.815
Li 0.546 0.546 0.091
Li 0.184 0.684 0.367
Hg 0.093 0.593 0.185
Hg 0.268 0.268 0.536
Sn 0.000 0.000 0.000
Hg 0.732 0.732 0.464
Sn 0.639 0.139 0.278

=====

Relative calculated energies, zero for the most stable structure, unit kJ/mol of atoms: 1 0.0; 2 2.2.

=====

## 1
This record from Alexandria via LeMat-Bulk describes a geometry-optimized Li6SnHg structure. The functional is PBE.

Results
Magnetic moment   0.000 μB per atom
Crystal system   trigonal

Unit cell a=4.653 b=4.653 c=7.996 alpha=73.08 beta=73.08 gamma=60.00
Sites, in units of the cell vectors:
Li 0.242 0.242 0.273
Li 0.374 0.374 0.877
Li 0.626 0.626 0.123
Hg 0.000 0.000 0.000
Li 0.124 0.124 0.627
Li 0.758 0.758 0.727
Sn 0.500 0.500 0.500
Li 0.876 0.876 0.373

=====

## 2
This record from Alexandria via LeMat-Bulk describes a geometry-optimized Li6SnHg structure. The functional is PBE.

Results
Magnetic moment   0.000 μB per atom
Crystal system   orthorhombic

Unit cell a=4.814 b=5.912 c=5.912 alpha=119.92 beta=90.00 gamma=90.00
Sites, in units of the cell vectors:
Li 0.500 0.918 0.082
Li 0.500 0.918 0.586
Sn 0.500 0.416 0.584
Li 0.500 0.414 0.082
Li 0.000 0.575 0.900
Li 0.000 0.575 0.425
Hg 0.000 0.084 0.916
Li 0.000 0.100 0.425

=====

Relative calculated energies, zero for the most stable structure, unit kJ/mol of atoms: 1 0.0; 2 3.0.

=====

## 1
This record from Alexandria via LeMat-Bulk describes a geometry-optimized Li3SnHg structure. The functional is PBE.

Results
Magnetic moment   0.198 μB per atom
Crystal system   cubic

Unit cell a=5.280 b=5.280 c=5.280 alpha=90.00 beta=90.00 gamma=90.00
Sites, in units of the cell vectors:
Li 0.000 0.500 0.000
Sn 0.000 0.000 0.000
Li 0.500 0.000 0.000
Hg 0.500 0.500 0.500
Li 0.000 0.000 0.500

=====

## 2
This record from Alexandria via LeMat-Bulk describes a geometry-optimized Li3SnHg structure. The functional is PBE.

Results
Magnetic moment   0.000 μB per atom
Crystal system   cubic

Unit cell a=4.916 b=4.916 c=4.916 alpha=90.00 beta=90.00 gamma=90.00
Sites, in units of the cell vectors:
Hg 0.000 0.000 0.000
Li 0.000 0.500 0.000
Li 0.000 0.000 0.500
Li 0.500 0.000 0.000
Sn 0.500 0.500 0.500

=====

## 3
This record from Alexandria via LeMat-Bulk describes a geometry-optimized Li3SnHg structure. The functional is PBE.

Results
Magnetic moment   0.000 μB per atom
Crystal system   monoclinic

Unit cell a=5.797 b=4.862 c=10.075 alpha=103.96 beta=134.58 gamma=90.00
Sites, in units of the cell vectors:
Li 0.265 0.001 0.002
Sn 0.140 0.395 0.791
Li 0.735 0.999 0.998
Li 0.339 0.594 0.187
Li 0.025 0.793 0.586
Li 0.975 0.207 0.414
Hg 0.420 0.176 0.352
Hg 0.580 0.824 0.648
Li 0.661 0.406 0.813
Sn 0.860 0.605 0.209

=====

## 4
This record from Alexandria via LeMat-Bulk describes a geometry-optimized Li3SnHg structure. The functional is PBE.

Results
Magnetic moment   0.000 μB per atom
Crystal system   triclinic

Unit cell a=3.110 b=6.982 c=12.181 alpha=69.55 beta=59.27 gamma=90.28
Sites, in units of the cell vectors:
Li 0.756 0.304 0.689
Li 0.000 0.588 0.065
Li 0.372 0.431 0.380
Li 0.269 0.842 0.431
Sn 0.861 0.949 0.885
Sn 0.511 0.069 0.560
Hg 0.197 0.787 0.217
Hg 0.175 0.232 0.228
Li 0.103 0.177 0.014
Li 0.616 0.715 0.756

=====

Relative calculated energies, zero for the most stable structure, unit kJ/mol of atoms: 1 34.4; 2 30.4; 3 0.0; 4 4.8.

=====

## 1
This record from Alexandria via LeMat-Bulk describes a geometry-optimized Li3SnHg3 structure. The functional is PBE.

Results
Magnetic moment   0.000 μB per atom
Crystal system   orthorhombic

Unit cell a=6.532 b=6.532 c=6.633 alpha=90.00 beta=90.00 gamma=90.44
Sites, in units of the cell vectors:
Hg 0.737 0.263 0.500
Li 0.500 0.000 0.253
Sn 0.273 0.273 0.000
Hg 0.746 0.254 0.000
Li 0.500 0.000 0.747
Li 0.000 0.000 0.750
Hg 0.740 0.740 0.500
Li 0.000 0.500 0.747
Sn 0.727 0.727 0.000
Hg 0.260 0.260 0.500
Li 0.000 0.000 0.250
Hg 0.254 0.746 0.000
Li 0.000 0.500 0.253
Hg 0.263 0.737 0.500

=====

## 2
This record from Alexandria via LeMat-Bulk describes a geometry-optimized Li3SnHg3 structure. The functional is PBE.

Results
Magnetic moment   0.000 μB per atom
Crystal system   trigonal

Unit cell a=7.533 b=7.533 c=7.537 alpha=60.01 beta=60.01 gamma=60.00
Sites, in units of the cell vectors:
Li 0.067 0.551 0.662
Li 0.449 0.280 0.338
Hg 0.302 0.092 0.785
Hg 0.178 0.698 0.215
Hg 0.698 0.908 0.215
Li 0.280 0.933 0.338
Li 0.551 0.720 0.662
Li 0.933 0.449 0.338
Sn 0.656 0.656 0.031
Hg 0.092 0.822 0.785
Sn 0.344 0.344 0.969
Hg 0.908 0.178 0.215
Hg 0.822 0.302 0.785
Li 0.720 0.067 0.662

=====

Relative calculated energies, zero for the most stable structure, unit kJ/mol of atoms: 1 0.0; 2 6.6.